PBE Mo2PbCl, relaxed; polymorph energy (0 for the lowest one) = 149 meV per atom; symmetry = No. 99; raw total energy = -6.59 eV/atom; formation energy from raw total energies = 83 kJ/mol of formula units; M_tot = 0.00 μB/f.u.
1.0
3.171 0.000 0.000
0.000 3.171 0.000
0.000 0.000 8.668
Cl Mo Pb
1 2 1
Direct
0.500 0.500 0.827
0.000 0.000 0.034
0.500 0.500 0.191
0.000 0.000 0.447